--- one ---
Computed, not measured: a relaxed structure of Co7Ni3Rh at the GGA-PBE level of DFT.

a = 4.4598 Å, b = 6.1865 Å, c = 6.1865 Å
α = 80.54°, β = 115.85°, γ = 115.85°
Closest atoms and distances in Å follow each position.
Atoms (fractional coordinates):
Co (0.3670, 0.2130, 0.2130)  3 Ni 2.35-2.40, 5 Co 2.41-2.56, 1 Rh 2.42
Co (0.3069, 0.0444, 0.5803)  3 Co 2.30-2.45, 3 Ni 2.36-2.55
Co (0.6931, 0.4197, 0.9556)  3 Co 2.30-2.45, 3 Ni 2.36-2.55
Co (0.3069, 0.5803, 0.0444)  3 Co 2.30-2.45, 3 Ni 2.36-2.55
Co (0.0000, 0.5000, 0.5000)  2 Rh 2.23, 2 Ni 2.40
Co (0.6931, 0.9556, 0.4197)  3 Co 2.30-2.45, 3 Ni 2.36-2.55
Co (0.6330, 0.7870, 0.7870)  3 Ni 2.35-2.40, 5 Co 2.41-2.56, 1 Rh 2.42
Ni (0.0000, 0.7997, 0.2003)  7 Co 2.35-2.55
Ni (0.5000, 0.0000, 0.0000)  6 Co 2.36-2.40
Ni (0.0000, 0.2003, 0.7997)  7 Co 2.35-2.55
Rh (0.5000, 0.5000, 0.5000)  4 Co 2.23-2.42

Output
- Total moment: 15.17 Bohr magnetons per cell
- Symmetry: No. 12
- V: 138.2 Å³ per cell

***

--- two ---
Computed, not measured: a relaxed structure of Co7Ni3Rh at the GGA-PBE level of DFT.

a = 2.5375 Å, b = 10.1374 Å, c = 9.9927 Å
α = 90.00°, β = 90.00°, γ = 97.19°
Closest atoms and distances in Å follow each position.
Atoms (fractional coordinates):
Co (0.4012, 0.8025, 0.7500)  8 Co 2.47-2.54, 4 Ni 2.62
Co (0.5988, 0.1975, 0.2500)  8 Co 2.47-2.54, 4 Ni 2.62
Co (0.4915, 0.9830, 0.3711)  5 Co 2.42-2.60, 4 Ni 2.48-2.49, 2 Rh 2.59
Co (0.5085, 0.0170, 0.6289)  5 Co 2.42-2.60, 4 Ni 2.48-2.49, 2 Rh 2.59
Co (0.5085, 0.0170, 0.8711)  5 Co 2.42-2.60, 4 Ni 2.48-2.49, 2 Rh 2.59
Co (0.4915, 0.9830, 0.1289)  5 Co 2.42-2.60, 4 Ni 2.48-2.49, 2 Rh 2.59
Co (0.3173, 0.6345, 0.4310)  5 Co 2.37-2.64, 4 Ni 2.39-2.54
Co (0.6827, 0.3655, 0.5690)  5 Co 2.37-2.64, 4 Ni 2.39-2.54
Co (0.1896, 0.3793, 0.3690)  8 Co 2.37-2.64, 3 Ni 2.39-2.40
Co (0.8104, 0.6207, 0.6310)  8 Co 2.37-2.64, 3 Ni 2.39-2.40
Co (0.8104, 0.6207, 0.8690)  8 Co 2.37-2.64, 3 Ni 2.39-2.40
Co (0.1896, 0.3793, 0.1310)  8 Co 2.37-2.64, 3 Ni 2.39-2.40
Co (0.3173, 0.6345, 0.0690)  5 Co 2.37-2.64, 4 Ni 2.39-2.54
Co (0.6827, 0.3655, 0.9310)  5 Co 2.37-2.64, 4 Ni 2.39-2.54
Ni (0.0836, 0.1672, 0.4773)  9 Co 2.39-2.62, 2 Ni 2.54
Ni (0.9164, 0.8328, 0.5227)  9 Co 2.39-2.62, 2 Ni 2.54
Ni (0.2280, 0.4560, 0.7500)  8 Co 2.39-2.40, 1 Rh 2.50, 2 Ni 2.54
Ni (0.7720, 0.5440, 0.2500)  8 Co 2.39-2.40, 1 Rh 2.50, 2 Ni 2.54
Ni (0.0836, 0.1672, 0.0227)  9 Co 2.39-2.62, 2 Ni 2.54
Ni (0.9164, 0.8328, 0.9773)  9 Co 2.39-2.62, 2 Ni 2.54
Rh (0.8964, 0.7928, 0.2500)  3 Ni 2.50-2.75, 2 Rh 2.54, 8 Co 2.59-2.72
Rh (0.1036, 0.2072, 0.7500)  3 Ni 2.50-2.75, 2 Rh 2.54, 8 Co 2.59-2.72

Output
- Total moment: 29.88 Bohr magnetons per cell
- Symmetry: No. 63
- V: 255.0 Å³ per cell

***

So which one is most stable? That would be two, about 30.2 kJ/mol of atoms below the next structure.

***

--- one ---
Computed, not measured: a relaxed structure of Co4Ni4Rh at the GGA-PBE level of DFT.

a = 4.1233 Å, b = 6.6625 Å, c = 6.1872 Å
α = 40.52°, β = 70.53°, γ = 71.96°
Closest atoms and distances in Å follow each position.
Atoms (fractional coordinates):
Co (0.2677, 0.1460, 0.3187)  3 Ni 2.36-2.56, 5 Co 2.44-2.53, 1 Rh 2.61
Co (0.7323, 0.8540, 0.6813)  3 Ni 2.36-2.56, 5 Co 2.44-2.53, 1 Rh 2.61
Co (0.8468, 0.3044, 0.0020)  6 Ni 2.41-2.54, 4 Co 2.44-2.70
Co (0.1532, 0.6956, 0.9980)  6 Ni 2.41-2.54, 4 Co 2.44-2.70
Ni (0.6276, 0.4187, 0.3260)  2 Ni 2.42, 5 Co 2.46-2.56, 2 Rh 2.63-2.68
Ni (0.9414, 0.7552, 0.3621)  3 Ni 2.33-2.42, 4 Co 2.36-2.54, 2 Rh 2.51
Ni (0.3724, 0.5813, 0.6740)  2 Ni 2.42, 5 Co 2.46-2.56, 2 Rh 2.63-2.68
Ni (0.0586, 0.2448, 0.6379)  3 Ni 2.33-2.42, 4 Co 2.36-2.54, 2 Rh 2.51
Rh (0.5000, 0.0000, 0.0000)  8 Ni 2.51-2.68, 2 Co 2.61

Output
- Total moment: 10.47 Bohr magnetons per cell
- Symmetry: No. 12
- V: 103.7 Å³ per cell

***

--- two ---
Computed, not measured: a relaxed structure of Co4Ni4Rh at the GGA-PBE level of DFT.

a = 3.5480 Å, b = 5.6513 Å, c = 5.6513 Å
α = 84.34°, β = 71.71°, γ = 71.71°
Closest atoms and distances in Å follow each position.
Atoms (fractional coordinates):
Co (0.6716, 0.6567, 0.0000)  4 Co 2.44-2.60, 6 Ni 2.49-2.53, 2 Rh 2.56
Co (0.3284, 0.3433, 0.0000)  4 Co 2.44-2.60, 6 Ni 2.49-2.53, 2 Rh 2.56
Co (0.6716, 0.0000, 0.6567)  4 Co 2.44-2.60, 6 Ni 2.49-2.53, 2 Rh 2.56
Co (0.3284, 0.0000, 0.3433)  4 Co 2.44-2.60, 6 Ni 2.49-2.53, 2 Rh 2.56
Ni (0.6650, 0.3350, 0.3350)  6 Co 2.49-2.53, 5 Ni 2.50-2.51, 1 Rh 2.54
Ni (0.3350, 0.6650, 0.6650)  6 Co 2.49-2.53, 5 Ni 2.50-2.51, 1 Rh 2.54
Ni (0.0000, 0.6650, 0.3350)  6 Co 2.49-2.53, 5 Ni 2.50-2.51, 1 Rh 2.54
Ni (0.0000, 0.3350, 0.6650)  6 Co 2.49-2.53, 5 Ni 2.50-2.51, 1 Rh 2.54
Rh (0.0000, 0.0000, 0.0000)  4 Ni 2.54, 8 Co 2.56

Output
- Total moment: 10.01 Bohr magnetons per cell
- Symmetry: No. 139
- V: 102.1 Å³ per cell

***

So which one is most stable? That would be two, about 8.7 kJ/mol of atoms below the next structure.